Computed, not measured: a relaxed NaAsPb crystal at the PBE level of DFT.

* calculated total energy: -3.420 eV per atom
* energy of formation: -0.195 eV per atom
* theoretical density: 5.562 g cm⁻³
* calculated volume: 182 Å³ per cell

abc: 4.9482 5.3025 6.9430
angles: 90.00 90.00 90.00
Atoms (fractional coordinates):
Na  0.2500  0.2500  0.0057
Na  0.7500  0.7500  0.9943
As  0.2500  0.7500  0.2507
As  0.7500  0.2500  0.7493
Pb  0.2500  0.2500  0.4934
Pb  0.7500  0.7500  0.5066

=====

Computed, not measured: a relaxed La5PuTl3 crystal at the PBE level of DFT.

* calculated total energy: -5.378 eV per atom
* energy of formation: -0.259 eV per atom
* theoretical density: 8.941 g cm⁻³
* calculated volume: 576 Å³ per cell

abc: 9.7939 9.7939 6.9381
angles: 90.00 90.00 120.00
Atoms (fractional coordinates):
La  0.0000  0.3108  0.2500
La  0.0000  0.6892  0.7500
La  0.3108  0.0000  0.2500
La  0.3108  0.3108  0.7500
La  0.3333  0.6667  0.0000
La  0.3333  0.6667  0.5000
La  0.6667  0.3333  0.0000
La  0.6667  0.3333  0.5000
La  0.6892  0.0000  0.7500
La  0.6892  0.6892  0.2500
Pu  0.0000  0.0000  0.0000
Pu  0.0000  0.0000  0.5000
Tl  0.0000  0.3493  0.7500
Tl  0.0000  0.6507  0.2500
Tl  0.3493  0.0000  0.7500
Tl  0.3493  0.3493  0.2500
Tl  0.6507  0.0000  0.2500
Tl  0.6507  0.6507  0.7500

=====

Computed, not measured: a relaxed TeIr2Ru crystal at the PBE level of DFT.

* calculated total energy: -6.977 eV per atom
* theoretical density: 15.303 g cm⁻³
* calculated volume: 67 Å³ per cell

abc: 9.2010 9.2010 9.2010
angles: 18.22 18.22 18.22
Atoms (fractional coordinates):
Te  0.0000  0.0000  0.0000
Ir  0.2440  0.2440  0.2440
Ir  0.7560  0.7560  0.7560
Ru  0.5000  0.5000  0.5000

=====

Computed, not measured: a relaxed Na3Pu3ZnS8 crystal at the PBE level of DFT.

* calculated total energy: -6.712 eV per atom
* theoretical density: 5.225 g cm⁻³
* calculated volume: 357 Å³ per cell

abc: 7.8577 7.8577 8.0627
angles: 119.10 119.10 60.06
Atoms (fractional coordinates):
Na  0.0000  0.0000  0.0000
Na  0.0000  0.5000  0.0000
Na  0.5000  0.0000  0.0000
Pu  0.0000  0.5000  0.5000
Pu  0.5000  0.0000  0.5000
Pu  0.5000  0.5000  0.5000
Zn  0.0000  0.0000  0.5000
S  0.2328  0.2328  0.7122
S  0.2341  0.7448  0.7131
S  0.2552  0.7659  0.2869
S  0.2578  0.2578  0.2734
S  0.7422  0.7422  0.7266
S  0.7448  0.2341  0.7131
S  0.7659  0.2552  0.2869
S  0.7672  0.7672  0.2878

=====

Computed, not measured: a relaxed Tb2ErSc6 crystal at the PBE level of DFT.

* calculated total energy: -5.678 eV per atom
* energy of formation: 0.079 eV per atom
* theoretical density: 5.156 g cm⁻³
* calculated volume: 243 Å³ per cell

abc: 3.3921 3.3921 24.3978
angles: 90.00 90.00 120.00
Atoms (fractional coordinates):
Tb  0.0000  0.0000  0.1726
Tb  0.0000  0.0000  0.8274
Er  0.6667  0.3333  0.5000
Sc  0.0000  0.0000  0.3888
Sc  0.0000  0.0000  0.6112
Sc  0.6667  0.3333  0.0616
Sc  0.6667  0.3333  0.2860
Sc  0.6667  0.3333  0.7140
Sc  0.6667  0.3333  0.9384

=====

Computed, not measured: a relaxed Pm2ThHg3 crystal at the PBE level of DFT.

* calculated total energy: -3.347 eV per atom
* energy of formation: -0.376 eV per atom
* theoretical density: 11.199 g cm⁻³
* calculated volume: 167 Å³ per cell

abc: 3.7939 3.7939 11.5765
angles: 90.00 90.00 90.00
Atoms (fractional coordinates):
Pm  0.0000  0.0000  0.1655
Pm  0.0000  0.0000  0.8345
Th  0.0000  0.0000  0.5000
Hg  0.5000  0.5000  0.0000
Hg  0.5000  0.5000  0.3283
Hg  0.5000  0.5000  0.6717

=====

Computed, not measured: a relaxed TaRu4 crystal at the PBE level of DFT.

* calculated total energy: -9.882 eV per atom
* energy of formation: -0.091 eV per atom
* theoretical density: 13.156 g cm⁻³
* calculated volume: 74 Å³ per cell

abc: 4.7776 4.7776 4.7776
angles: 99.45 99.45 132.19
Atoms (fractional coordinates):
Ta  0.0000  0.0000  0.0000
Ru  0.1900  0.5958  0.7859
Ru  0.4042  0.1900  0.5942
Ru  0.5958  0.8100  0.4058
Ru  0.8100  0.4042  0.2141

=====

Computed, not measured: a relaxed LiCu2Ni2 crystal at the PBE level of DFT.

* calculated total energy: -4.092 eV per atom
* energy of formation: 0.242 eV per atom
* theoretical density: 6.264 g cm⁻³
* calculated volume: 67 Å³ per cell

abc: 6.3926 6.3926 6.3926
angles: 149.62 149.62 43.51
Atoms (fractional coordinates):
Li  0.0000  0.0000  0.0000
Cu  0.4001  0.4001  0.0000
Cu  0.5999  0.5999  0.0000
Ni  0.2500  0.7500  0.5000
Ni  0.7500  0.2500  0.5000

=====

Question: Which of these has the lowest theoretical density?
Answer: Tb2ErSc6

=====

Question: Number 6 is which compound?
Answer: Pm2ThHg3